(1)
{
  "formula": "Sr2CaPaP4",
  "functional": "PBE",
  "state": "optimized geometry",
  "lattice_angstrom": [[7.233, 0.000, 0.000], [0.000, 4.229, 0.000], [-2.474, 0.000, 6.928]],
  "species": ["Sr", "Sr", "Ca", "Pa", "P", "P", "P", "P"],
  "fractional_positions": [[0.000, 0.000, 0.000], [0.500, 0.500, 0.000], [0.000, 0.500, 0.500], [0.500, 0.000, 0.500], [0.260, 0.000, 0.722], [0.277, 0.500, 0.284], [0.723, 0.500, 0.716], [0.740, 0.000, 0.278]],
  "spacegroup": "P2/m",
  "delta_e_f_ev_per_fu": -8.745,
  "final_energy_ev_per_fu": -45.2
}

(2)
{
  "formula": "Sr3CaPa2P6",
  "functional": "PBE",
  "state": "optimized geometry",
  "lattice_angstrom": [[3.624, -6.276, 0.000], [3.624, 6.276, 0.000], [-2.418, 0.000, 6.932]],
  "species": ["Sr", "Sr", "Sr", "Ca", "Pa", "Pa", "P", "P", "P", "P", "P", "P"],
  "fractional_positions": [[0.000, 0.000, 0.000], [0.338, 0.662, 0.000], [0.662, 0.338, 0.000], [0.500, 0.500, 0.500], [0.167, 0.833, 0.500], [0.833, 0.167, 0.500], [0.074, 0.428, 0.284], [0.219, 0.219, 0.716], [0.428, 0.074, 0.284], [0.572, 0.926, 0.716], [0.781, 0.781, 0.284], [0.926, 0.572, 0.716]],
  "spacegroup": "C2/m",
  "delta_e_f_ev_per_fu": -14.928,
  "final_energy_ev_per_fu": -73.4
}